Computed, not measured: a relaxed CaLaMnFeO6 crystal at the PBE+U level of DFT.

**Calculated total energy**: -7.32 eV/atom
**Size of the total moment**: 7.99 μB per formula unit

abc: 5.475 5.506 9.482
angles: 90.00 125.20 90.00
Positions (direct):
Ca  0.000  0.210  0.000
Ca  0.000  0.790  0.500
La  0.515  0.280  0.500
La  0.515  0.720  0.000
Mn  0.759  0.250  0.250
Mn  0.759  0.750  0.750
Fe  0.260  0.250  0.751
Fe  0.260  0.750  0.251
O  0.000  0.460  0.210
O  0.000  0.540  0.710
O  0.073  0.232  0.496
O  0.073  0.768  0.996
O  0.436  0.264  0.005
O  0.436  0.736  0.505
O  0.518  0.035  0.287
O  0.518  0.965  0.787
O  0.591  0.468  0.791
O  0.591  0.532  0.291
O  0.936  0.028  0.713
O  0.936  0.972  0.213